Entry 1
# NaMnMo3

A relaxed NaMnMo3 crystal (PBE-GGA, Alexandria).

Density   6.97 g/cm³
Calculated volume   87.2 Å³ per cell
Total moment   0.00 μB/cell

Structure (CIF):
```
data_NaMnMo3
_cell_length_a 4.434
_cell_length_b 4.434
_cell_length_c 4.434
_cell_angle_alpha 90.00
_cell_angle_beta 90.00
_cell_angle_gamma 90.00
_space_group_name_H-M_alt 'P m -3 m'
_space_group_IT_number 221
_space_group_name_Hall '-P 4 2 3'
loop_
_atom_site_label
_atom_site_type_symbol
_atom_site_fract_x
_atom_site_fract_y
_atom_site_fract_z
Na1 Na 0.000 0.000 0.000
Mn1 Mn 0.500 0.500 0.500
Mo1 Mo 0.000 0.000 0.500
```

Entry 2
# NaMnMo3

A relaxed NaMnMo3 crystal (PBE-GGA, Alexandria).

Density   6.43 g/cm³
Calculated volume   94.5 Å³ per cell
Total moment   0.00 μB/cell

Structure (CIF):
```
data_NaMnMo3
_cell_length_a 4.555
_cell_length_b 4.555
_cell_length_c 4.555
_cell_angle_alpha 90.00
_cell_angle_beta 90.00
_cell_angle_gamma 90.00
_space_group_name_H-M_alt 'P m -3 m'
_space_group_IT_number 221
_space_group_name_Hall '-P 4 2 3'
loop_
_atom_site_label
_atom_site_type_symbol
_atom_site_fract_x
_atom_site_fract_y
_atom_site_fract_z
Na1 Na 0.000 0.000 0.000
Mn1 Mn 0.500 0.500 0.500
Mo1 Mo 0.000 0.500 0.500
```

Stability summary: most stable entry 2, least stable entry 1.

Entry 1
# NaMn3Mo

A relaxed NaMn3Mo crystal (PBE-GGA, Alexandria).

Density   5.01 g/cm³
Calculated volume   94.1 Å³ per cell
Total moment   8.60 μB/cell

Structure (CIF):
```
data_NaMn3Mo
_cell_length_a 4.549
_cell_length_b 4.549
_cell_length_c 4.549
_cell_angle_alpha 90.00
_cell_angle_beta 90.00
_cell_angle_gamma 90.00
_space_group_name_H-M_alt 'P m -3 m'
_space_group_IT_number 221
_space_group_name_Hall '-P 4 2 3'
loop_
_atom_site_label
_atom_site_type_symbol
_atom_site_fract_x
_atom_site_fract_y
_atom_site_fract_z
Na1 Na 0.000 0.000 0.000
Mn1 Mn 0.000 0.000 0.500
Mo1 Mo 0.500 0.500 0.500
```

Entry 2
# NaMn3Mo

A relaxed NaMn3Mo crystal (PBE-GGA, Alexandria).

Density   4.26 g/cm³
Calculated volume   110.6 Å³ per cell
Total moment   9.82 μB/cell

Structure (CIF):
```
data_NaMn3Mo
_cell_length_a 4.800
_cell_length_b 4.800
_cell_length_c 4.800
_cell_angle_alpha 90.00
_cell_angle_beta 90.00
_cell_angle_gamma 90.00
_space_group_name_H-M_alt 'P m -3 m'
_space_group_IT_number 221
_space_group_name_Hall '-P 4 2 3'
loop_
_atom_site_label
_atom_site_type_symbol
_atom_site_fract_x
_atom_site_fract_y
_atom_site_fract_z
Na1 Na 0.000 0.000 0.000
Mn1 Mn 0.000 0.500 0.500
Mo1 Mo 0.500 0.500 0.500
```

Stability summary: most stable entry 2, least stable entry 1.

Entry 1
# Mn2NbMo

A relaxed Mn2NbMo crystal (PBE-GGA, Alexandria).

Density   8.92 g/cm³
Calculated volume   55.6 Å³ per cell
Total moment   0.00 μB/cell

Structure (CIF):
```
data_Mn2NbMo
_cell_length_a 4.294
_cell_length_b 4.294
_cell_length_c 3.016
_cell_angle_alpha 90.00
_cell_angle_beta 90.00
_cell_angle_gamma 90.00
_space_group_name_H-M_alt 'P 4/m m m'
_space_group_IT_number 123
_space_group_name_Hall '-P 4 2'
loop_
_atom_site_label
_atom_site_type_symbol
_atom_site_fract_x
_atom_site_fract_y
_atom_site_fract_z
Mn1 Mn 0.000 0.500 0.000
Nb1 Nb 0.000 0.000 0.500
Mo1 Mo 0.500 0.500 0.500
```

Entry 2
# Mn2NbMo

A relaxed Mn2NbMo crystal (PBE-GGA, Alexandria).

Density   8.02 g/cm³
Calculated volume   247.3 Å³ per cell
Total moment   14.71 μB/cell

Structure (CIF):
```
data_Mn2NbMo
_cell_length_a 6.811
_cell_length_b 6.811
_cell_length_c 5.331
_cell_angle_alpha 90.00
_cell_angle_beta 90.00
_cell_angle_gamma 90.00
_space_group_name_H-M_alt 'I -4 2 d'
_space_group_IT_number 122
_space_group_name_Hall 'I -4 2bw'
loop_
_atom_site_label
_atom_site_type_symbol
_atom_site_fract_x
_atom_site_fract_y
_atom_site_fract_z
Mn1 Mn 0.236 0.750 0.125
Nb1 Nb 0.000 0.000 0.500
Mo1 Mo 0.000 0.000 0.000
```

Stability summary: most stable entry 1, least stable entry 2.